Rb2TaMoF6: relaxed, PBE with a Hubbard U.

The structure in extended XYZ format:
```
10
Lattice="-2.1560 -3.0048 -5.0372 4.6030 -4.1929 0.5310 -1.3672 -6.1126 0.3553" Properties=species:S:1:pos:R:3 pbc="T T T"
Mo 1.2235 -3.5989 -2.2531
F -0.5214 -3.2921 -3.6905
F 1.8552 -5.4570 -3.4163
F 2.9684 -3.9056 -0.8156
F 0.5918 -1.7407 -1.0898
F -0.1500 -4.9316 -0.8702
F 1.2299 -8.3787 -3.2806
Rb 2.2297 -6.9522 -0.6833
Rb -1.1498 -6.3581 -3.4674
Ta 0.0000 0.0000 0.0000
```

Computed properties:
**Symmetry**: I4/mmm, No. 139
**E**: -5.22 eV per atom